{
  "formula": "CeNp2USe4",
  "functional": "PBE-GGA",
  "state": "relaxed",
  "space_group": "P2/m, No. 10",
  "dos_at_fermi_per_ev_cell": 26.28,
  "formation_energy_uncorrected_ev_per_atom": -1.21,
  "cell": [[7.1262, 0.0000, 0.0000], [0.0000, 4.0912, 0.0000], [-2.3859, 0.0000, 6.7404]],
  "species": ["Ce", "Np", "Np", "U", "Se", "Se", "Se", "Se"],
  "frac_coords": [[0.0000, 0.0000, 0.0000], [0.0000, 0.5000, 0.5000], [0.5000, 0.0000, 0.5000], [0.5000, 0.5000, 0.0000], [0.2510, 0.0000, 0.7477], [0.2549, 0.5000, 0.2543], [0.7451, 0.5000, 0.7457], [0.7490, 0.0000, 0.2523]]
}